# PBE Nd4Dy3Au4, optimized geometry
# Total DFT energy (no corrections) in eV per atom: -4.695
# Calculated volume in A^3/atom: 28.1
# DOS(E_F) in states/eV per atom: 1.08
data_Nd4Dy3Au4
_chemical_formula_sum 'Nd8 Dy6 Au8'
_cell_length_a 3.7948
_cell_length_b 9.3132
_cell_length_c 17.4770
_cell_angle_alpha 90.00
_cell_angle_beta 90.00
_cell_angle_gamma 90.00
_symmetry_space_group_name_H-M 'I m m m'
_symmetry_Int_Tables_number 71
_symmetry_space_group_name_Hall '-I 2 2'
loop_
_atom_site_label
_atom_site_type_symbol
_atom_site_fract_x
_atom_site_fract_y
_atom_site_fract_z
_atom_site_occupancy
Nd1 Nd 0.0000 0.1845 0.1607 1
Dy1 Dy 0.0000 0.0000 0.3991 1
Dy2 Dy 0.0000 0.5000 0.5000 1
Au1 Au 0.0000 0.3217 0.0000 1
Au2 Au 0.0000 0.5000 0.2380 1